Material: Ba12Fe3O5
Method: DFT, GGA+U
State: relaxed

Geometry as CIF:
```
data_Ba12Fe3O5
_space_group_name_H-M_alt 'I a -3 d'
_space_group_IT_number 230
_space_group_name_Hall '-I 4bd 2c 3'
_cell_length_a 17.952
_cell_length_b 17.952
_cell_length_c 17.952
_cell_angle_alpha 90.00
_cell_angle_beta 90.00
_cell_angle_gamma 90.00
loop_
_atom_site_label
_atom_site_type_symbol
_atom_site_fract_x
_atom_site_fract_y
_atom_site_fract_z
_atom_site_occupancy
Ba1 Ba 0.035 0.047 0.649 1
Fe1 Fe 0.000 0.250 0.125 1
O1 O 0.000 0.000 0.000 1
O2 O 0.000 0.250 0.375 1
```

Results
The value obtained for the raw total energy is -4.17 eV per atom.